No. 1
! BaV10O15, optimized geometry, DFT GGA-PBEsol; values from VASP
! symmetry	Cmce
! total energy	-477.04	eV per cell
! DOS(E_F)	0.4838	states/eV/atom
! ΔE_f (raw)	-2357	meV/atom
&SYSTEM
  ibrav = 0, nat = 52, ntyp = 3
/
ATOMIC_SPECIES
Ba 137.33 Ba.upf
V 50.94 V.upf
O 16.00 O.upf
ATOMIC_POSITIONS crystal
Ba 0.000 0.000 0.000
Ba 0.500 0.500 0.500
V 0.031 0.237 0.626
V 0.066 0.423 0.108
V 0.077 0.434 0.392
V 0.175 0.825 0.647
V 0.237 0.031 0.374
V 0.263 0.469 0.874
V 0.325 0.675 0.147
V 0.423 0.066 0.892
V 0.434 0.077 0.608
V 0.469 0.263 0.126
V 0.531 0.737 0.874
V 0.566 0.923 0.392
V 0.577 0.934 0.108
V 0.675 0.325 0.853
V 0.737 0.531 0.126
V 0.763 0.969 0.626
V 0.825 0.175 0.353
V 0.923 0.566 0.608
V 0.934 0.577 0.892
V 0.969 0.763 0.374
O 0.000 0.000 0.500
O 0.047 0.218 0.257
O 0.081 0.419 0.750
O 0.126 0.641 0.014
O 0.141 0.626 0.514
O 0.167 0.833 0.268
O 0.218 0.047 0.743
O 0.246 0.246 0.500
O 0.254 0.254 0.000
O 0.282 0.453 0.243
O 0.333 0.667 0.768
O 0.359 0.874 0.014
O 0.374 0.859 0.514
O 0.419 0.081 0.250
O 0.453 0.282 0.757
O 0.500 0.500 0.000
O 0.547 0.718 0.243
O 0.581 0.919 0.750
O 0.626 0.141 0.486
O 0.641 0.126 0.986
O 0.667 0.333 0.232
O 0.718 0.547 0.757
O 0.746 0.746 0.000
O 0.754 0.754 0.500
O 0.782 0.953 0.257
O 0.833 0.167 0.732
O 0.859 0.374 0.486
O 0.874 0.359 0.986
O 0.919 0.581 0.250
O 0.953 0.782 0.743
CELL_PARAMETERS angstrom
5.730 -4.812 0.000
5.730 4.812 0.000
0.000 0.000 9.363



No. 2
! Ba5V5O14, optimized geometry, DFT GGA-PBEsol; values from VASP
! symmetry	P-3m1
! total energy	-196.87	eV per cell
! DOS(E_F)	0.3036	states/eV/atom
! ΔE_f (raw)	-2686	meV/atom
&SYSTEM
  ibrav = 0, nat = 24, ntyp = 3
/
ATOMIC_SPECIES
Ba 137.33 Ba.upf
V 50.94 V.upf
O 16.00 O.upf
ATOMIC_POSITIONS crystal
Ba 0.000 0.000 0.000
Ba 0.333 0.667 0.426
Ba 0.333 0.667 0.766
Ba 0.667 0.333 0.234
Ba 0.667 0.333 0.574
V 0.000 0.000 0.293
V 0.000 0.000 0.500
V 0.000 0.000 0.707
V 0.333 0.667 0.136
V 0.667 0.333 0.864
O 0.153 0.307 0.601
O 0.153 0.847 0.601
O 0.167 0.334 0.192
O 0.167 0.833 0.192
O 0.307 0.153 0.399
O 0.333 0.667 0.992
O 0.334 0.167 0.808
O 0.666 0.833 0.192
O 0.667 0.333 0.008
O 0.693 0.847 0.601
O 0.833 0.167 0.808
O 0.833 0.666 0.808
O 0.847 0.153 0.399
O 0.847 0.693 0.399
CELL_PARAMETERS angstrom
5.748 0.000 0.000
-2.874 4.978 0.000
0.000 0.000 11.855



No. 3
! BaV8O16, optimized geometry, DFT GGA-PBEsol; values from VASP
! symmetry	P-1
! total energy	-225.48	eV per cell
! DOS(E_F)	0.3298	states/eV/atom
! ΔE_f (raw)	-2491	meV/atom
&SYSTEM
  ibrav = 0, nat = 25, ntyp = 3
/
ATOMIC_SPECIES
Ba 137.33 Ba.upf
V 50.94 V.upf
O 16.00 O.upf
ATOMIC_POSITIONS crystal
Ba 0.000 0.000 0.000
V 0.070 0.523 0.187
V 0.167 0.815 0.522
V 0.339 0.183 0.467
V 0.427 0.468 0.819
V 0.573 0.532 0.181
V 0.661 0.817 0.533
V 0.833 0.185 0.478
V 0.930 0.477 0.813
O 0.022 0.295 0.623
O 0.149 0.043 0.351
O 0.169 0.350 0.959
O 0.170 0.624 0.704
O 0.324 0.646 0.043
O 0.333 0.378 0.295
O 0.346 0.959 0.647
O 0.482 0.705 0.377
O 0.518 0.295 0.623
O 0.654 0.041 0.353
O 0.667 0.622 0.705
O 0.676 0.354 0.957
O 0.830 0.376 0.296
O 0.831 0.650 0.041
O 0.851 0.957 0.649
O 0.978 0.705 0.377
CELL_PARAMETERS angstrom
5.637 0.000 0.000
1.415 7.071 0.000
1.407 -0.004 7.073